(1)
VASP calculation (PBE) on a relaxed Hf2ZnRh3 crystal.

a = 4.515 Å, b = 4.515 Å, c = 11.037 Å
α = 90.00°, β = 90.00°, γ = 120.00°
Atoms (fractional coordinates):
Hf 0.667 0.333 0.817
Hf 0.333 0.667 0.183
Hf 0.000 0.000 0.500
Hf 0.000 0.000 0.000
Rh 0.333 0.667 0.422
Rh 0.333 0.667 0.920
Rh 0.000 0.000 0.249
Rh 0.667 0.333 0.080
Rh 0.667 0.333 0.578
Rh 0.000 0.000 0.751
Zn 0.333 0.667 0.666
Zn 0.667 0.333 0.334

## Properties
Energy of formation, eV per atom: -0.849
Space-group type: No. 164
E, eV per atom: -8.055
Magnetic moment, μB/f.u.: 0.000

(2)
VASP calculation (PBE) on a relaxed HfZnRh3 crystal.

a = 4.469 Å, b = 4.469 Å, c = 4.469 Å
α = 90.00°, β = 90.00°, γ = 90.00°
Atoms (fractional coordinates):
Rh 0.500 0.000 0.000
Rh 0.000 0.000 0.500
Rh 0.000 0.500 0.000
Zn 0.000 0.000 0.000
Hf 0.500 0.500 0.500

## Properties
Excess energy over the best structure of this formula in the dataset, meV/atom: 572
Energy of formation, eV per atom: 0.316
Space-group type: No. 221
E, eV per atom: -6.340
Magnetic moment, μB/f.u.: 0.000

(3)
VASP calculation (PBE) on a relaxed Hf4Zn3Rh crystal.

a = 3.319 Å, b = 3.319 Å, c = 12.980 Å
α = 90.00°, β = 90.00°, γ = 90.00°
Atoms (fractional coordinates):
Zn 0.500 0.500 0.751
Zn 0.500 0.500 0.500
Zn 0.500 0.500 0.249
Hf 0.000 0.000 0.878
Hf 0.000 0.000 0.626
Hf 0.000 0.000 0.374
Hf 0.000 0.000 0.122
Rh 0.500 0.500 0.000

## Properties
Energy of formation, eV per atom: -0.363
Space-group type: No. 123
E, eV per atom: -6.737
Magnetic moment, μB/f.u.: 0.000